## P
NaInTc: relaxed, GGA-PBE.

Geometry as extended XYZ:
```
3
Lattice="-1.960 -3.946 -1.427 -1.218 -3.230 3.088 -4.478 -0.806 0.864" Properties=species:S:1:pos:R:3 pbc="T T T"
Tc -5.742 -5.987 1.894
In -1.914 -1.996 0.631
Na 0.000 0.000 0.000
```

Its space-group type is F-43m.

***

## Q
NaInTc: relaxed, GGA-PBE.

Geometry as extended XYZ:
```
3
Lattice="0.000 3.316 3.316 3.316 0.000 3.316 3.316 3.316 0.000" Properties=species:S:1:pos:R:3 pbc="T T T"
In 1.658 1.658 1.658
Tc 0.000 0.000 0.000
Na 4.974 4.974 4.974
```

Its space-group type is F-43m.

***

Most stable: Q (next structure +334 meV per atom)